# 1
Compound: YBe2Sb
Source: Alexandria via LeMat-Bulk
Functional: meta-GGA SCAN
Structure: PBEsol geometry

Unit cell a=4.258 b=4.258 c=5.299 alpha=111.26 beta=111.26 gamma=53.68
Element x y z (fractional)
Y  0.000  0.000  0.000
Be  0.235  0.235  0.636
Be  0.765  0.765  0.364
Sb  0.500  0.500  0.500

Properties
- N(E_F) (states/eV/f.u.) = 1.533
- formation energy from raw total energies (meV per atom) = -13
- total magnetization (μB/f.u.) = 0.11
- symmetry = C2/m (12)


# 2
Compound: LiCu2Pt
Source: Alexandria via LeMat-Bulk
Functional: meta-GGA SCAN
Structure: PBEsol geometry

Unit cell a=2.949 b=3.973 c=4.131 alpha=90.00 beta=90.00 gamma=90.00
Element x y z (fractional)
Li  0.000  0.000  0.000
Cu  0.000  0.500  0.500
Cu  0.500  0.000  0.500
Pt  0.500  0.500  0.000

Properties
- N(E_F) (states/eV/f.u.) = 1.061
- ΔH_f (0 K) (eV per atom) = -0.2751
- total magnetization (μB/f.u.) = 0.00
- symmetry = Pmmm (47)
- excess energy over the best structure of this formula in the dataset (eV/atom) = 0.027


# 3
Compound: TlBr2Cl
Source: Alexandria via LeMat-Bulk
Functional: meta-GGA SCAN
Structure: PBEsol geometry

Unit cell a=5.331 b=5.331 c=5.446 alpha=95.33 beta=95.33 gamma=54.52
Element x y z (fractional)
Tl  0.000  0.000  0.000
Br  0.312  0.312  0.724
Br  0.508  0.508  0.453
Cl  0.699  0.699  0.179

Properties
- N(E_F) (states/eV/f.u.) = 0.000
- formation energy from raw total energies (meV per atom) = -519
- total magnetization (μB/f.u.) = 0.00
- symmetry = Cm (8)
- excess energy over the best structure of this formula in the dataset (eV/atom) = 0.000


# 4
Compound: Zr2TeAu
Source: Alexandria via LeMat-Bulk
Functional: meta-GGA SCAN
Structure: PBEsol geometry

Unit cell a=9.240 b=9.240 c=9.240 alpha=21.35 beta=21.35 gamma=21.35
Element x y z (fractional)
Zr  0.000  0.000  0.000
Zr  0.245  0.245  0.245
Te  0.499  0.499  0.499
Au  0.741  0.741  0.741

Properties
- N(E_F) (states/eV/f.u.) = 2.591
- formation energy from raw total energies (meV per atom) = -360
- total magnetization (μB/f.u.) = 0.00
- symmetry = R3m (160)
- excess energy over the best structure of this formula in the dataset (eV/atom) = 0.302


# 5
Compound: LaReHg
Source: Alexandria via LeMat-Bulk
Functional: meta-GGA SCAN
Structure: PBEsol geometry

Unit cell a=5.082 b=5.082 c=2.852 alpha=90.00 beta=90.00 gamma=120.00
Element x y z (fractional)
La  0.000  0.000  0.000
Re  0.333  0.667  0.500
Hg  0.667  0.333  0.500

Properties
- N(E_F) (states/eV/f.u.) = 3.562
- ΔH_f (0 K) (eV per atom) = 0.5346
- total magnetization (μB/f.u.) = 0.00
- symmetry = P-6m2 (187)


# 6
Compound: Zn3FeAu
Source: Alexandria via LeMat-Bulk
Functional: meta-GGA SCAN
Structure: PBEsol geometry

Unit cell a=4.480 b=4.480 c=4.480 alpha=90.00 beta=90.00 gamma=90.00
Element x y z (fractional)
Zn  0.000  0.000  0.500
Zn  0.000  0.500  0.000
Zn  0.500  0.000  0.000
Fe  0.000  0.000  0.000
Au  0.500  0.500  0.500

Properties
- N(E_F) (states/eV/f.u.) = 2.499
- ΔH_f (0 K) (eV per atom) = 0.6575
- total magnetization (μB/f.u.) = 2.54
- symmetry = Pm-3m (221)


# 7
Compound: Co3O2F4
Source: Alexandria via LeMat-Bulk
Functional: meta-GGA SCAN
Structure: PBEsol geometry

Unit cell a=4.534 b=4.534 c=8.718 alpha=90.52 beta=90.52 gamma=94.57
Element x y z (fractional)
Co  0.000  0.000  0.000
Co  0.002  0.002  0.658
Co  0.464  0.464  0.170
Co  0.500  0.500  0.500
Co  0.536  0.536  0.830
Co  0.998  0.998  0.342
O  0.175  0.175  0.171
O  0.197  0.197  0.498
O  0.803  0.803  0.502
O  0.825  0.825  0.829
F  0.218  0.218  0.825
F  0.281  0.708  0.335
F  0.292  0.719  0.665
F  0.295  0.705  0.000
F  0.705  0.295  0.000
F  0.708  0.281  0.335
F  0.719  0.292  0.665
F  0.782  0.782  0.175

Properties
- N(E_F) (states/eV/f.u.) = 2.439
- formation energy from raw total energies (meV per atom) = -1822
- total magnetization (μB/f.u.) = 6.01
- symmetry = C2/m (12)
- excess energy over the best structure of this formula in the dataset (eV/atom) = 0.001


# 8
Compound: BaCd3Pt
Source: Alexandria via LeMat-Bulk
Functional: meta-GGA SCAN
Structure: PBEsol geometry

Unit cell a=5.192 b=5.192 c=5.192 alpha=90.00 beta=90.00 gamma=90.00
Element x y z (fractional)
Ba  0.000  0.000  0.000
Cd  0.000  0.500  0.500
Cd  0.500  0.000  0.500
Cd  0.500  0.500  0.000
Pt  0.500  0.500  0.500

Properties
- N(E_F) (states/eV/f.u.) = 1.599
- ΔH_f (0 K) (eV per atom) = -0.4435
- total magnetization (μB/f.u.) = 0.00
- symmetry = Pm-3m (221)